Record 1
Crystalline BaLiGeAu3 at its relaxed geometry. Source: Alexandria, functional PBE.

The structure belongs to space group Cmcm (No. 63); the cell edges are 6.5732, 12.2292 and 6.7942 Å and the angles 90.00°, 90.00° and 90.00°. The asymmetric unit holds Ba at (0.0000, 0.2155, 0.2500), Li at (0.0000, 0.4608, 0.2500), Ge at (0.0000, 0.1173, 0.7500), Au at (0.0000, 0.3313, 0.7500) and Au at (0.2284, 0.0000, 0.0000).

Its total moment is 0.00 μB/f.u. For the theoretical density, the calculation gives 9.82 g/cm3. The total energy comes out at -3.4568 eV per atom. The value obtained for the formation energy is -0.4091 eV per atom.

---

Record 2
Crystalline Zr2ScSi2 at its relaxed geometry. Source: Alexandria, functional PBE.

The structure belongs to space group P4/mbm (No. 127); the cell edges are 7.0956, 7.0956 and 3.7365 Å and the angles 90.00°, 90.00° and 90.00°. The asymmetric unit holds Zr at (0.1713, 0.3287, 0.0000), Sc at (0.0000, 0.0000, 0.5000) and Si at (0.1231, 0.6231, 0.5000).

Its total moment is 0.00 μB/f.u. For the theoretical density, the calculation gives 5.01 g/cm3. The total energy comes out at -7.6875 eV per atom.

---

Record 3
Crystalline LiPmY2S4 at its relaxed geometry. Source: Alexandria, functional PBE.

The structure belongs to space group P2/m (No. 10); the cell edges are 6.8082, 3.9230 and 6.8164 Å and the angles 90.00°, 109.32° and 90.00°. The asymmetric unit holds Li at (0.0000, 0.0000, 0.0000), Pm at (0.5000, 0.5000, 0.0000), Y at (0.0000, 0.5000, 0.5000), Y at (0.5000, 0.0000, 0.5000), S at (0.2401, 0.0000, 0.7466) and S at (0.2444, 0.5000, 0.2509).

Its total moment is 0.00 μB/f.u. For the theoretical density, the calculation gives 4.43 g/cm3. The total energy comes out at -6.4505 eV per atom.

---

Record 4
Crystalline B2MoW2 at its relaxed geometry. Source: Alexandria, functional PBE.

The structure belongs to space group Immm (No. 71); the cell edges are 3.1251, 4.9446 and 7.6428 Å and the angles 90.00°, 90.00° and 90.00°. The asymmetric unit holds B at (0.0000, 0.1763, 0.0000), Mo at (0.0000, 0.0000, 0.5000) and W at (0.0000, 0.5000, 0.3015).

Its total moment is 0.00 μB/f.u. For the theoretical density, the calculation gives 13.65 g/cm3. The total energy comes out at -10.2681 eV per atom. The value obtained for the formation energy is -0.2496 eV per atom.

---

Record 5
Crystalline La2AlPd4 at its relaxed geometry. Source: Alexandria, functional PBE.

The structure belongs to space group I4/mmm (No. 139); the cell edges are 4.6756, 4.6756 and 15.0778 Å and the angles 90.00°, 90.00° and 90.00°. The asymmetric unit holds La at (0.0000, 0.0000, 0.1453), Al at (0.0000, 0.0000, 0.5000), Pd at (0.0000, 0.0000, 0.3386) and Pd at (0.0000, 0.5000, 0.0000).

Its total moment is 0.00 μB/f.u. For the theoretical density, the calculation gives 7.36 g/cm3. The total energy comes out at -5.4985 eV per atom. The value obtained for the formation energy is -0.5887 eV per atom.

---

Record 6
Crystalline MnCd2Ag at its relaxed geometry. Source: Alexandria, functional PBE.

The structure belongs to space group Cm (No. 8); the cell edges are 9.9828, 3.1090 and 5.0244 Å and the angles 90.00°, 104.10° and 90.00°. The asymmetric unit holds Mn at (0.0000, 0.0000, 0.0000), Cd at (0.2529, 0.0000, 0.7611), Cd at (0.4933, 0.0000, 0.4891) and Ag at (0.2390, 0.5000, 0.2413).

Its total moment is 3.98 μB/f.u. For the theoretical density, the calculation gives 8.51 g/cm3. The total energy comes out at -3.3040 eV per atom. The value obtained for the formation energy is 0.1587 eV per atom.